[1]
An optimized crystal structure of Sr8HAu2. Source: Alexandria, functional PBE-GGA.

The structure belongs to space group C2/m (No. 12); the cell edges are 13.1308, 9.7538 and 7.2134 Å and the angles 90.00°, 107.49° and 90.00°. The asymmetric unit holds Sr at (0.0814, 0.0000, 0.2780), Sr at (0.1286, 0.5000, 0.2595), Sr at (0.1418, 0.2950, 0.7488), H at (0.0000, 0.5000, 0.5000) and Au at (0.1909, 0.0000, 0.9429).

As for the total magnetization: 0.00 Bohr magnetons per cell. The calculation puts the total energy at -2.47 eV/atom.



[2]
An optimized crystal structure of HfICl3. Source: Alexandria, functional PBE-GGA.

The structure belongs to space group Pnma (No. 62); the cell edges are 6.8972, 7.8038 and 13.8452 Å and the angles 90.00°, 90.00° and 90.00°. The asymmetric unit holds Hf at (0.0000, 0.0000, 0.0000), I at (0.2315, 0.2500, 0.1064), Cl at (0.1778, 0.7500, 0.0775) and Cl at (0.2297, 0.0041, 0.8731).

For the energy above the most stable polymorph in this dataset, the calculation gives 0.0000 eV per atom. As for the total magnetization: 0.00 Bohr magnetons per cell. The calculation puts the total energy at -4.94 eV/atom. The raw formation energy comes out at -1.528 eV per atom.



[3]
An optimized crystal structure of BeCl3. Source: Alexandria, functional PBE-GGA.

The structure belongs to space group Imm2 (No. 44); the cell edges are 2.8461, 11.0829 and 7.2313 Å and the angles 90.00°, 90.00° and 90.00°. The asymmetric unit holds Be at (0.0000, 0.0000, 0.0000), Cl at (0.0000, 0.3654, 0.5011) and Cl at (0.0000, 0.5000, 0.0047).

For the energy above the most stable polymorph in this dataset, the calculation gives 0.1543 eV per atom. As for the total magnetization: 0.00 Bohr magnetons per cell. The calculation puts the total energy at -2.95 eV/atom. The raw formation energy comes out at -0.638 eV per atom.



[4]
An optimized crystal structure of Sr6Zn5Cd. Source: Alexandria, functional PBE-GGA.

The structure belongs to space group P2/m (No. 10); the cell edges are 5.5736, 7.8522 and 8.8044 Å and the angles 90.00°, 108.52° and 90.00°. The asymmetric unit holds Sr at (0.0000, 0.2447, 0.0000), Sr at (0.3321, 0.2478, 0.6623), Zn at (0.1617, 0.5000, 0.3281), Zn at (0.1636, 0.0000, 0.3320), Zn at (0.5000, 0.0000, 0.0000) and Cd at (0.5000, 0.5000, 0.0000).

As for the formation energy from the elements: -205 meV per atom. As for the total magnetization: 0.00 Bohr magnetons per cell. The calculation puts the total energy at -1.65 eV/atom.